(1)
The following is a DFT calculation (PBE-GGA) of a relaxed structure of Bi3RhBr.

Cell lengths 5.378, 5.378, 5.378 Å; angles 90.00, 90.00, 90.00 degrees
Positions (direct):
Bi: 0.000 0.000 0.500
Bi: 0.000 0.500 0.000
Bi: 0.500 0.000 0.000
Rh: 0.000 0.000 0.000
Br: 0.500 0.500 0.500

Uncorrected formation energy ... 0.24 eV/atom

---

(2)
The following is a DFT calculation (PBE-GGA) of a relaxed structure of Tb3Te2Ir.

Cell lengths 14.127, 13.462, 7.516 Å; angles 79.14, 69.36, 31.50 degrees
Positions (direct):
Tb: 0.037 0.531 0.179
Tb: 0.087 0.663 0.663
Tb: 0.179 0.753 0.037
Tb: 0.247 0.821 0.469
Tb: 0.337 0.913 0.913
Tb: 0.469 0.963 0.247
Tb: 0.531 0.037 0.753
Tb: 0.663 0.087 0.087
Tb: 0.753 0.179 0.531
Tb: 0.821 0.247 0.963
Tb: 0.913 0.337 0.337
Tb: 0.963 0.469 0.821
Te: 0.130 0.130 0.620
Te: 0.296 0.296 0.454
Te: 0.380 0.380 0.870
Te: 0.454 0.454 0.296
Te: 0.546 0.546 0.704
Te: 0.620 0.620 0.130
Te: 0.704 0.704 0.546
Te: 0.870 0.870 0.380
Ir: 0.042 0.042 0.208
Ir: 0.208 0.208 0.042
Ir: 0.792 0.792 0.958
Ir: 0.958 0.958 0.792

Uncorrected formation energy ... -1.18 eV/atom

---

(3)
The following is a DFT calculation (PBE-GGA) of a relaxed structure of KHg2GeSb.

Cell lengths 5.524, 5.524, 5.624 Å; angles 90.00, 90.00, 90.00 degrees
Positions (direct):
K: 0.000 0.000 0.000
Hg: 0.000 0.500 0.500
Hg: 0.500 0.000 0.500
Ge: 0.500 0.500 0.500
Sb: 0.500 0.500 0.000

Uncorrected formation energy ... 0.02 eV/atom

---

(4)
The following is a DFT calculation (PBE-GGA) of a relaxed structure of CsV3Bi.

Cell lengths 5.242, 5.242, 5.242 Å; angles 90.00, 90.00, 90.00 degrees
Positions (direct):
Cs: 0.000 0.000 0.000
V: 0.000 0.500 0.500
V: 0.500 0.000 0.500
V: 0.500 0.500 0.000
Bi: 0.500 0.500 0.500

ΔE_f ... 9.97 eV/f.u.

---

| no. | D(E_F) (states/eV/cell) |
| --- | --- |
| 1 | 6.66 |
| 2 | 13.14 |
| 3 | 2.80 |
| 4 | 13.60 |